(1)
# KMg2Cd2 GGA-PBEsol relaxed
# ΔE_f ... 0.00 eV/atom
# Energy above the lowest structure with this stoichiometry ... 37 meV per atom
data_KMg2Cd2
_chemical_formula_sum 'K1 Mg2 Cd2'
_cell_length_a 4.733
_cell_length_b 4.733
_cell_length_c 7.184
_cell_angle_alpha 109.23
_cell_angle_beta 109.23
_cell_angle_gamma 90.00
_space_group_name_H-M_alt 'P 1'
_space_group_IT_number 1
loop_
_space_group_symop_operation_xyz
'x,y,z'
loop_
_atom_site_label
_atom_site_fract_x
_atom_site_fract_y
_atom_site_fract_z
Cd1 0.388 0.388 0.777
Cd2 0.612 0.612 0.223
K1 0.000 0.000 0.000
Mg1 0.750 0.250 0.500
Mg2 0.250 0.750 0.500



(2)
# K2MgCd2 GGA-PBEsol relaxed
# ΔE_f ... 0.05 eV/atom
data_K2MgCd2
_chemical_formula_sum 'K4 Mg2 Cd4'
_cell_length_a 5.619
_cell_length_b 7.816
_cell_length_c 7.816
_cell_angle_alpha 90.00
_cell_angle_beta 90.00
_cell_angle_gamma 90.00
_space_group_name_H-M_alt 'P 1'
_space_group_IT_number 1
loop_
_space_group_symop_operation_xyz
'x,y,z'
loop_
_atom_site_label
_atom_site_fract_x
_atom_site_fract_y
_atom_site_fract_z
K1 0.500 0.824 0.324
K2 0.500 0.676 0.824
K3 0.500 0.176 0.676
K4 0.500 0.324 0.176
Mg1 0.000 0.500 0.500
Mg2 0.000 0.000 0.000
Cd1 0.000 0.632 0.132
Cd2 0.000 0.368 0.868
Cd3 0.000 0.132 0.368
Cd4 0.000 0.868 0.632



(3)
# KMg2Cd2 GGA-PBEsol relaxed
# ΔE_f ... -0.04 eV/atom
# Energy above the lowest structure with this stoichiometry ... 0 meV per atom
data_KMg2Cd2
_chemical_formula_sum 'K2 Mg4 Cd4'
_cell_length_a 3.046
_cell_length_b 9.103
_cell_length_c 9.103
_cell_angle_alpha 90.00
_cell_angle_beta 90.00
_cell_angle_gamma 90.00
_space_group_name_H-M_alt 'P 1'
_space_group_IT_number 1
loop_
_space_group_symop_operation_xyz
'x,y,z'
loop_
_atom_site_label
_atom_site_fract_x
_atom_site_fract_y
_atom_site_fract_z
Mg1 0.500 0.634 0.866
Mg2 0.500 0.134 0.634
Mg3 0.500 0.866 0.366
Mg4 0.500 0.366 0.134
K1 0.000 0.000 0.000
K2 0.000 0.500 0.500
Cd1 0.000 0.657 0.157
Cd2 0.000 0.343 0.843
Cd3 0.000 0.157 0.343
Cd4 0.000 0.843 0.657



(4)
# K2MgCd GGA-PBEsol relaxed
# ΔE_f ... 0.24 eV/atom
# Energy above the lowest structure with this stoichiometry ... 183 meV per atom
data_K2MgCd
_chemical_formula_sum 'K2 Mg1 Cd1'
_cell_length_a 3.845
_cell_length_b 3.845
_cell_length_c 12.182
_cell_angle_alpha 80.92
_cell_angle_beta 80.92
_cell_angle_gamma 60.00
_space_group_name_H-M_alt 'P 1'
_space_group_IT_number 1
loop_
_space_group_symop_operation_xyz
'x,y,z'
loop_
_atom_site_label
_atom_site_fract_x
_atom_site_fract_y
_atom_site_fract_z
K1 0.746 0.746 0.761
K2 0.254 0.254 0.239
Mg1 0.500 0.500 0.500
Cd1 0.000 0.000 0.000